1.
## Bi3Br7O (PBE)

Data for an optimized crystal structure of Bi3Br7O.

Calculated values
- ΔE_f (raw) (eV/atom) = -0.784
- spin magnetization (μB per formula unit) = 0.00
- total DFT energy (no corrections) (eV/cell) = -36.93

abc: 8.109 8.109 7.167
angles: 90.00 90.00 120.00
Sites, in units of the cell vectors:
Bi 0.179 0.358 0.000
Bi 0.179 0.821 0.000
Bi 0.642 0.821 0.000
Br 0.000 0.000 0.756
Br 0.337 0.169 0.227
Br 0.502 0.003 0.750
Br 0.502 0.498 0.750
Br 0.831 0.169 0.227
Br 0.831 0.663 0.227
Br 0.997 0.498 0.750
O 0.333 0.667 0.102

***

2.
## ZnC3 (PBE)

Data for an optimized crystal structure of ZnC3.

Calculated values
- spin magnetization (μB per formula unit) = 0.00
- total DFT energy (no corrections) (eV/cell) = -15.72
- polymorph energy (0 for the lowest one) (meV/atom) = 2855
- calculated formation energy (eV/f.u.) = 13.2

abc: 3.701 3.701 3.701
angles: 60.00 60.00 60.00
Sites, in units of the cell vectors:
Zn 0.000 0.000 0.000
C 0.250 0.250 0.250
C 0.500 0.500 0.500
C 0.750 0.750 0.750

***

3.
## CaZnTe3 (PBE)

Data for an optimized crystal structure of CaZnTe3.

Calculated values
- ΔE_f (raw) (eV/atom) = 0.220
- spin magnetization (μB per formula unit) = 0.24
- total DFT energy (no corrections) (eV/cell) = -11.60
- polymorph energy (0 for the lowest one) (meV/atom) = 498

abc: 5.871 5.871 5.871
angles: 90.00 90.00 90.00
Sites, in units of the cell vectors:
Ca 0.000 0.000 0.000
Zn 0.500 0.500 0.500
Te 0.000 0.000 0.500
Te 0.000 0.500 0.000
Te 0.500 0.000 0.000

***

4.
## CuTePbN2 (PBE)

Data for an optimized crystal structure of CuTePbN2.

Calculated values
- ΔE_f (raw) (eV/atom) = 1.439
- spin magnetization (μB per formula unit) = 3.50
- total DFT energy (no corrections) (eV/cell) = -20.40
- polymorph energy (0 for the lowest one) (meV/atom) = 0

abc: 4.266 4.266 5.307
angles: 90.00 90.00 90.00
Sites, in units of the cell vectors:
Cu 0.000 0.000 0.000
Te 0.000 0.000 0.500
Pb 0.500 0.500 0.500
N 0.000 0.500 0.000
N 0.500 0.000 0.000

***

5.
## Y2AlOs (PBE)

Data for an optimized crystal structure of Y2AlOs.

Calculated values
- spin magnetization (μB per formula unit) = 0.00
- total DFT energy (no corrections) (eV/cell) = -28.83
- calculated formation energy (eV/f.u.) = -0.9

abc: 6.173 6.173 6.173
angles: 148.11 133.13 57.81
Sites, in units of the cell vectors:
Y 0.000 0.000 0.000
Y 0.709 0.209 0.500
Al 0.309 0.809 0.500
Os 0.485 0.485 0.000

***

6.
## Sm6Al7 (PBE)

Data for an optimized crystal structure of Sm6Al7.

Calculated values
- spin magnetization (μB per formula unit) = 0.00
- total DFT energy (no corrections) (eV/cell) = -59.47
- calculated formation energy (eV/f.u.) = -5.0

abc: 11.148 11.148 11.148
angles: 29.90 29.90 29.90
Sites, in units of the cell vectors:
Sm 0.051 0.051 0.051
Sm 0.148 0.148 0.148
Sm 0.335 0.335 0.335
Sm 0.665 0.665 0.665
Sm 0.852 0.852 0.852
Sm 0.949 0.949 0.949
Al 0.089 0.599 0.599
Al 0.401 0.401 0.911
Al 0.401 0.911 0.401
Al 0.500 0.500 0.500
Al 0.599 0.089 0.599
Al 0.599 0.599 0.089
Al 0.911 0.401 0.401